The following is a PBE calculation of an optimized crystal structure of PrSm7Tm3, from Alexandria.

- E_form (eV per atom) = 0.135
- DFT total energy (eV for the cell shown) = -49.75
- total magnetization (μB per formula unit) = 0.000
- theoretical density (g/cm³) = 7.636

CIF file:
```
data_PrSm7Tm3
_chemical_formula_sum 'Pr1 Sm7 Tm3'
_symmetry_space_group_name_H-M 'P -1'
_symmetry_Int_Tables_number 2
_cell_length_a 6.5399
_cell_length_b 6.7215
_cell_length_c 8.7092
_cell_angle_alpha 99.52
_cell_angle_beta 99.11
_cell_angle_gamma 95.64
loop_
_symmetry_equiv_pos_as_xyz
'x,y,z'
'-x,-y,-z'
loop_
_atom_site_label
_atom_site_type_symbol
_atom_site_fract_x
_atom_site_fract_y
_atom_site_fract_z
Pr1 Pr 0.0000 0.0000 0.0000
Sm1 Sm 0.0000 0.5000 0.0000
Sm2 Sm 0.0505 0.2094 0.6398
Sm3 Sm 0.2253 0.7209 0.7116
Sm4 Sm 0.4851 0.2406 0.9099
Tm1 Tm 0.3081 0.4317 0.3407
Tm2 Tm 0.5000 0.0000 0.5000
```

The following is a PBE calculation of an optimized crystal structure of Pr10SmTm4, from Alexandria.

- E_form (eV per atom) = 0.434
- DFT total energy (eV for the cell shown) = -127.77
- total magnetization (μB per formula unit) = 0.000
- theoretical density (g/cm³) = 6.727

CIF file:
```
data_Pr10SmTm4
_chemical_formula_sum 'Pr20 Sm2 Tm8'
_symmetry_space_group_name_H-M 'I 4/m'
_symmetry_Int_Tables_number 87
_symmetry_space_group_name_Hall '-I 4'
_cell_length_a 10.0965
_cell_length_b 10.0965
_cell_length_c 10.8244
_cell_angle_alpha 90.00
_cell_angle_beta 90.00
_cell_angle_gamma 90.00
loop_
_atom_site_label
_atom_site_type_symbol
_atom_site_fract_x
_atom_site_fract_y
_atom_site_fract_z
Pr1 Pr 0.0000 0.5000 0.2500
Pr2 Pr 0.1193 0.2273 0.1682
Sm1 Sm 0.0000 0.0000 0.0000
Tm1 Tm 0.0538 0.2733 0.5000
```

The following is a PBE calculation of an optimized crystal structure of Pr2SmTm7, from Alexandria.

- E_form (eV per atom) = 0.025
- DFT total energy (eV for the cell shown) = -45.33
- total magnetization (μB per formula unit) = 0.000
- theoretical density (g/cm³) = 8.509

CIF file:
```
data_Pr2SmTm7
_chemical_formula_sum 'Pr2 Sm1 Tm7'
_symmetry_space_group_name_H-M 'P -1'
_symmetry_Int_Tables_number 2
_cell_length_a 6.1314
_cell_length_b 7.0984
_cell_length_c 7.9148
_cell_angle_alpha 77.31
_cell_angle_beta 75.09
_cell_angle_gamma 73.46
loop_
_symmetry_equiv_pos_as_xyz
'x,y,z'
'-x,-y,-z'
loop_
_atom_site_label
_atom_site_type_symbol
_atom_site_fract_x
_atom_site_fract_y
_atom_site_fract_z
Pr1 Pr 0.2012 0.2986 0.1009
Sm1 Sm 0.0000 0.0000 0.5000
Tm1 Tm 0.0000 0.5000 0.5000
Tm2 Tm 0.1996 0.7997 0.1016
Tm3 Tm 0.3989 0.1013 0.6974
Tm4 Tm 0.4006 0.6003 0.6980
```

The following is a PBE calculation of an optimized crystal structure of Pr2Sm5Tm12, from Alexandria.

- E_form (eV per atom) = 0.131
- DFT total energy (eV for the cell shown) = -168.65
- total magnetization (μB per formula unit) = 0.000
- theoretical density (g/cm³) = 8.244

CIF file:
```
data_Pr2Sm5Tm12
_chemical_formula_sum 'Pr4 Sm10 Tm24'
_symmetry_space_group_name_H-M 'C 1 2/m 1'
_symmetry_Int_Tables_number 12
_cell_length_a 15.5629
_cell_length_b 9.2540
_cell_length_c 8.5671
_cell_angle_alpha 90.00
_cell_angle_beta 92.06
_cell_angle_gamma 90.00
loop_
_symmetry_equiv_pos_as_xyz
'x,y,z'
'-x,-y,-z'
'-x,y,-z'
'x,-y,z'
'x+1/2,y+1/2,z'
'-x+1/2,-y+1/2,-z'
'-x+1/2,y+1/2,-z'
'x+1/2,-y+1/2,z'
loop_
_atom_site_label
_atom_site_type_symbol
_atom_site_fract_x
_atom_site_fract_y
_atom_site_fract_z
Pr1 Pr 0.0000 0.1800 0.0000
Sm1 Sm 0.0000 0.5000 0.5000
Sm2 Sm 0.2042 0.0000 0.0146
Sm3 Sm 0.2311 0.5000 0.5735
Tm1 Tm 0.0563 0.0000 0.3330
Tm2 Tm 0.0817 0.5000 0.8772
Tm3 Tm 0.1289 0.1891 0.6587
Tm4 Tm 0.1509 0.3216 0.2442
```

The following is a PBE calculation of an optimized crystal structure of PrSmTm, from Alexandria.

- E_form (eV per atom) = 0.028
- DFT total energy (eV for the cell shown) = -27.77
- total magnetization (μB per formula unit) = 0.000
- theoretical density (g/cm³) = 7.633

CIF file:
```
data_PrSmTm
_chemical_formula_sum 'Pr2 Sm2 Tm2'
_symmetry_space_group_name_H-M 'I 4 m m'
_symmetry_Int_Tables_number 107
_symmetry_space_group_name_Hall 'I 4 -2'
_cell_length_a 3.6208
_cell_length_b 3.6208
_cell_length_c 15.2731
_cell_angle_alpha 90.00
_cell_angle_beta 90.00
_cell_angle_gamma 90.00
loop_
_atom_site_label
_atom_site_type_symbol
_atom_site_fract_x
_atom_site_fract_y
_atom_site_fract_z
Pr1 Pr 0.0000 0.0000 0.0000
Sm1 Sm 0.0000 0.0000 0.3287
Tm1 Tm 0.0000 0.0000 0.6660
```

The following is a PBE calculation of an optimized crystal structure of Pr2Sm5Tm2, from Alexandria.

- E_form (eV per atom) = 0.219
- DFT total energy (eV for the cell shown) = -80.25
- total magnetization (μB per formula unit) = 0.000
- theoretical density (g/cm³) = 7.159

CIF file:
```
data_Pr2Sm5Tm2
_chemical_formula_sum 'Pr4 Sm10 Tm4'
_symmetry_space_group_name_H-M 'C 1 2/m 1'
_symmetry_Int_Tables_number 12
_cell_length_a 22.0780
_cell_length_b 3.5270
_cell_length_c 8.2931
_cell_angle_alpha 90.00
_cell_angle_beta 99.87
_cell_angle_gamma 90.00
loop_
_symmetry_equiv_pos_as_xyz
'x,y,z'
'-x,-y,-z'
'-x,y,-z'
'x,-y,z'
'x+1/2,y+1/2,z'
'-x+1/2,-y+1/2,-z'
'-x+1/2,y+1/2,-z'
'x+1/2,-y+1/2,z'
loop_
_atom_site_label
_atom_site_type_symbol
_atom_site_fract_x
_atom_site_fract_y
_atom_site_fract_z
Pr1 Pr 0.1774 0.0000 0.1481
Sm1 Sm 0.0000 0.0000 0.0000
Sm2 Sm 0.0931 0.0000 0.7350
Sm3 Sm 0.1902 0.5000 0.5354
Tm1 Tm 0.0477 0.5000 0.3579
```

The following is a PBE calculation of an optimized crystal structure of Pr8SmTm6, from Alexandria.

- E_form (eV per atom) = 0.170
- DFT total energy (eV for the cell shown) = -201.71
- total magnetization (μB per formula unit) = 0.000
- theoretical density (g/cm³) = 7.502

CIF file:
```
data_Pr8SmTm6
_chemical_formula_sum 'Pr24 Sm3 Tm18'
_symmetry_space_group_name_H-M 'R -3'
_symmetry_Int_Tables_number 148
_symmetry_space_group_name_Hall '-R 3'
_cell_length_a 9.8853
_cell_length_b 9.8853
_cell_length_c 17.9784
_cell_angle_alpha 90.00
_cell_angle_beta 90.00
_cell_angle_gamma 120.00
loop_
_atom_site_label
_atom_site_type_symbol
_atom_site_fract_x
_atom_site_fract_y
_atom_site_fract_z
Pr1 Pr 0.0000 0.0000 0.0880
Pr2 Pr 0.0524 0.8150 0.6729
Sm1 Sm 0.0000 0.0000 0.5000
Tm1 Tm 0.0359 0.7462 0.1771
```

The following is a PBE calculation of an optimized crystal structure of Pr2Sm4Tm3, from Alexandria.

- E_form (eV per atom) = 0.087
- DFT total energy (eV for the cell shown) = -164.29
- total magnetization (μB per formula unit) = 0.000
- theoretical density (g/cm³) = 7.782

CIF file:
```
data_Pr2Sm4Tm3
_chemical_formula_sum 'Pr8 Sm16 Tm12'
_symmetry_space_group_name_H-M 'C 1 2/c 1'
_symmetry_Int_Tables_number 15
_cell_length_a 16.2976
_cell_length_b 11.7815
_cell_length_c 6.2143
_cell_angle_alpha 90.00
_cell_angle_beta 96.12
_cell_angle_gamma 90.00
loop_
_symmetry_equiv_pos_as_xyz
'x,y,z'
'-x,-y,-z'
'-x,y,-z+1/2'
'x,-y,z+1/2'
'x+1/2,y+1/2,z'
'-x+1/2,-y+1/2,-z'
'-x+1/2,y+1/2,-z+1/2'
'x+1/2,-y+1/2,z+1/2'
loop_
_atom_site_label
_atom_site_type_symbol
_atom_site_fract_x
_atom_site_fract_y
_atom_site_fract_z
Pr1 Pr 0.1195 0.1434 0.3202
Sm1 Sm 0.0479 0.3598 0.0135
Sm2 Sm 0.2153 0.1400 0.8469
Tm1 Tm 0.0000 0.1003 0.7500
Tm2 Tm 0.1660 0.4009 0.5877
```

The following is a PBE calculation of an optimized crystal structure of PrSmTm4, from Alexandria.

- E_form (eV per atom) = 0.026
- DFT total energy (eV for the cell shown) = -54.46
- total magnetization (μB per formula unit) = 0.000
- theoretical density (g/cm³) = 8.480

CIF file:
```
data_PrSmTm4
_chemical_formula_sum 'Pr2 Sm2 Tm8'
_symmetry_space_group_name_H-M 'C 1 2/m 1'
_symmetry_Int_Tables_number 12
_cell_length_a 11.2452
_cell_length_b 4.9946
_cell_length_c 7.1097
_cell_angle_alpha 90.00
_cell_angle_beta 108.49
_cell_angle_gamma 90.00
loop_
_symmetry_equiv_pos_as_xyz
'x,y,z'
'-x,-y,-z'
'-x,y,-z'
'x,-y,z'
'x+1/2,y+1/2,z'
'-x+1/2,-y+1/2,-z'
'-x+1/2,y+1/2,-z'
'x+1/2,-y+1/2,z'
loop_
_atom_site_label
_atom_site_type_symbol
_atom_site_fract_x
_atom_site_fract_y
_atom_site_fract_z
Pr1 Pr 0.0000 0.0000 0.0000
Sm1 Sm 0.0000 0.0000 0.5000
Tm1 Tm 0.1676 0.5000 0.8329
Tm2 Tm 0.1686 0.5000 0.3350
```

The following is a PBE calculation of an optimized crystal structure of Pr3Sm4Tm4, from Alexandria.

- E_form (eV per atom) = 0.155
- DFT total energy (eV for the cell shown) = -98.79
- total magnetization (μB per formula unit) = 0.000
- theoretical density (g/cm³) = 7.588

CIF file:
```
data_Pr3Sm4Tm4
_chemical_formula_sum 'Pr6 Sm8 Tm8'
_symmetry_space_group_name_H-M 'A m m 2'
_symmetry_Int_Tables_number 38
_cell_length_a 10.7494
_cell_length_b 5.7353
_cell_length_c 12.0678
_cell_angle_alpha 90.00
_cell_angle_beta 90.00
_cell_angle_gamma 90.00
loop_
_symmetry_equiv_pos_as_xyz
'x,y,z'
'-x,-y,z'
'-x,y,z'
'x,-y,z'
'x,y+1/2,z+1/2'
'-x,-y+1/2,z+1/2'
'-x,y+1/2,z+1/2'
'x,-y+1/2,z+1/2'
loop_
_atom_site_label
_atom_site_type_symbol
_atom_site_fract_x
_atom_site_fract_y
_atom_site_fract_z
Pr1 Pr 0.0000 0.0000 0.0000
Pr2 Pr 0.2889 0.0000 0.1578
Sm1 Sm 0.0000 0.0000 0.7050
Sm2 Sm 0.2144 0.0000 0.4970
Sm3 Sm 0.5000 0.0000 0.6327
Tm1 Tm 0.0000 0.0000 0.3041
Tm2 Tm 0.3026 0.0000 0.8517
Tm3 Tm 0.5000 0.0000 0.3596
```

The following is a PBE calculation of an optimized crystal structure of Pr3Sm5Tm, from Alexandria.

- E_form (eV per atom) = 0.384
- DFT total energy (eV for the cell shown) = -155.81
- total magnetization (μB per formula unit) = 0.000
- theoretical density (g/cm³) = 6.732

CIF file:
```
data_Pr3Sm5Tm
_chemical_formula_sum 'Pr12 Sm20 Tm4'
_symmetry_space_group_name_H-M 'C 1 2/m 1'
_symmetry_Int_Tables_number 12
_cell_length_a 17.9366
_cell_length_b 8.3138
_cell_length_c 9.2608
_cell_angle_alpha 90.00
_cell_angle_beta 106.30
_cell_angle_gamma 90.00
loop_
_symmetry_equiv_pos_as_xyz
'x,y,z'
'-x,-y,-z'
'-x,y,-z'
'x,-y,z'
'x+1/2,y+1/2,z'
'-x+1/2,-y+1/2,-z'
'-x+1/2,y+1/2,-z'
'x+1/2,-y+1/2,z'
loop_
_atom_site_label
_atom_site_type_symbol
_atom_site_fract_x
_atom_site_fract_y
_atom_site_fract_z
Pr1 Pr 0.0000 0.0000 0.0000
Pr2 Pr 0.0000 0.0000 0.5000
Pr3 Pr 0.1655 0.0000 0.2786
Pr4 Pr 0.1966 0.5000 0.2992
Sm1 Sm 0.0000 0.3243 0.0000
Sm2 Sm 0.0013 0.5000 0.3273
Sm3 Sm 0.1522 0.2928 0.5900
Sm4 Sm 0.1777 0.5000 0.9350
Tm1 Tm 0.1394 0.0000 0.8618
```

The following is a PBE calculation of an optimized crystal structure of PrSm5Tm, from Alexandria.

- E_form (eV per atom) = 0.875
- DFT total energy (eV for the cell shown) = -53.45
- total magnetization (μB per formula unit) = 0.000
- theoretical density (g/cm³) = 5.972

CIF file:
```
data_PrSm5Tm
_chemical_formula_sum 'Pr2 Sm10 Tm2'
_symmetry_space_group_name_H-M 'I m m 2'
_symmetry_Int_Tables_number 44
_cell_length_a 8.0140
_cell_length_b 11.7844
_cell_length_c 6.2518
_cell_angle_alpha 90.00
_cell_angle_beta 90.00
_cell_angle_gamma 90.00
loop_
_symmetry_equiv_pos_as_xyz
'x,y,z'
'-x,-y,z'
'-x,y,z'
'x,-y,z'
'x+1/2,y+1/2,z+1/2'
'-x+1/2,-y+1/2,z+1/2'
'-x+1/2,y+1/2,z+1/2'
'x+1/2,-y+1/2,z+1/2'
loop_
_atom_site_label
_atom_site_type_symbol
_atom_site_fract_x
_atom_site_fract_y
_atom_site_fract_z
Pr1 Pr 0.0000 0.0000 0.0000
Sm1 Sm 0.0000 0.2531 0.9910
Sm2 Sm 0.0000 0.5000 0.2622
Sm3 Sm 0.1801 0.0000 0.4973
Tm1 Tm 0.0000 0.5000 0.7363
```